[1]
! LiTh2Ga6Tc, optimized geometry, DFT PBE-GGA; values from VASP
! energy of formation from the pure elements = -2.93 eV per formula unit
&SYSTEM
  ibrav = 0, nat = 10, ntyp = 4
/
ATOMIC_SPECIES
Li 6.94 Li.upf
Th 232.04 Th.upf
Ga 69.72 Ga.upf
Tc 98.00 Tc.upf
ATOMIC_POSITIONS crystal
Li 0.000 0.000 0.000
Th 0.230 0.247 0.293
Th 0.770 0.753 0.707
Ga 0.240 0.767 0.259
Ga 0.251 0.584 0.914
Ga 0.266 0.233 0.741
Ga 0.734 0.767 0.259
Ga 0.749 0.416 0.086
Ga 0.760 0.233 0.741
Tc 0.500 0.500 0.500
CELL_PARAMETERS angstrom
5.260 0.000 0.000
2.627 6.210 0.000
2.617 -0.558 6.239



[2]
! TbTiZnAu, optimized geometry, DFT PBE-GGA; values from VASP
! energy of formation from the pure elements = -1.25 eV per formula unit
&SYSTEM
  ibrav = 0, nat = 4, ntyp = 4
/
ATOMIC_SPECIES
Tb 158.93 Tb.upf
Ti 47.87 Ti.upf
Zn 65.41 Zn.upf
Au 196.97 Au.upf
ATOMIC_POSITIONS crystal
Tb 0.000 0.000 0.000
Ti 0.500 0.500 0.500
Zn 0.250 0.250 0.250
Au 0.750 0.750 0.750
CELL_PARAMETERS angstrom
0.000 3.432 3.432
3.432 0.000 3.432
3.432 3.432 0.000